A plane-wave DFT calculation with meta-GGA SCAN was carried out for Os5Pt4 at its PBEsol-relaxed geometry.

Values from the calculation:
spin magnetization	0.000	μB per cell
final energy	-71.0519	eV per atom

abc: 6.1089 6.1089 6.1089
angles: 95.67 95.67 143.35
Closest atoms and distances in Å follow each position.
Atoms (fractional coordinates):
1 Os 0.0000 0.0000 0.0000  4 Pt 2.66, 8 Os 2.68
2 Os 0.3383 0.3383 0.6766  6 Os 2.65-2.81, 6 Pt 2.69-2.78
3 Os 0.3383 0.6617 0.0000  6 Os 2.65-2.81, 6 Pt 2.69-2.78
4 Os 0.6617 0.3383 0.0000  6 Os 2.65-2.81, 6 Pt 2.69-2.78
5 Os 0.6617 0.6617 0.3234  6 Os 2.65-2.81, 6 Pt 2.69-2.78
6 Pt 0.0000 0.3249 0.3249  7 Os 2.66-2.78, 5 Pt 2.80-2.87
7 Pt 0.0000 0.6751 0.6751  7 Os 2.66-2.78, 5 Pt 2.80-2.87
8 Pt 0.3249 0.0000 0.3249  7 Os 2.66-2.78, 5 Pt 2.80-2.87
9 Pt 0.6751 0.0000 0.6751  7 Os 2.66-2.78, 5 Pt 2.80-2.87